{
  "formula": "Sc3WCl",
  "functional": "PBE",
  "state": "relaxed",
  "magmom_total_mub_per_cell": 0.0,
  "dos_ef_per_ev_atom": 0.5503,
  "e_form_raw_mev_per_atom": 127,
  "cell": [[-0.497, -4.236, -1.948], [-1.245, -1.768, 4.161], [-4.493, 0.958, -0.937]],
  "species": ["Sc", "Sc", "Sc", "W", "Cl"],
  "frac_coords": [[0.000, 0.500, 0.000], [0.000, 0.000, 0.500], [0.500, 0.000, 0.000], [0.500, 0.500, 0.500], [0.000, 0.000, 0.000]]
}

---

{
  "formula": "ZrSc2WCl",
  "functional": "PBE",
  "state": "relaxed",
  "magmom_total_mub_per_cell": 0.0,
  "dos_ef_per_ev_atom": 1.0398,
  "e_form_raw_mev_per_atom": 211,
  "cell": [[4.737, 0.000, 0.000], [0.000, 4.557, 0.000], [0.000, 0.000, 4.737]],
  "species": ["Sc", "Sc", "Zr", "W", "Cl"],
  "frac_coords": [[0.000, 0.000, 0.500], [0.500, 0.000, 0.000], [0.500, 0.500, 0.500], [0.000, 0.500, 0.000], [0.000, 0.000, 0.000]]
}

---

{
  "formula": "Y2ScCl",
  "functional": "PBE",
  "state": "relaxed",
  "magmom_total_mub_per_cell": 0.0,
  "dos_ef_per_ev_atom": 1.6392,
  "e_form_raw_mev_per_atom": 210,
  "cell": [[5.398, 0.000, 0.000], [2.699, 4.675, 0.000], [2.699, 1.558, 4.407]],
  "species": ["Cl", "Sc", "Y", "Y"],
  "frac_coords": [[0.500, 0.500, 0.500], [0.750, 0.750, 0.750], [0.000, 0.000, 0.000], [0.250, 0.250, 0.250]]
}

---

{
  "formula": "YSc2Cl",
  "functional": "PBE",
  "state": "relaxed",
  "magmom_total_mub_per_cell": 0.0,
  "dos_ef_per_ev_atom": 1.3764,
  "e_form_raw_mev_per_atom": -581,
  "cell": [[9.550, 0.000, 0.000], [8.930, 3.387, 0.000], [8.930, 1.637, 2.966]],
  "species": ["Cl", "Sc", "Sc", "Y"],
  "frac_coords": [[0.750, 0.750, 0.750], [0.012, 0.012, 0.012], [0.488, 0.488, 0.488], [0.250, 0.250, 0.250]]
}